5
Lattice="-4.205 1.040 2.592 -2.748 -0.704 -4.175 -0.499 -4.889 1.153" Properties=species:S:1:pos:R:3 comment="InCu3Bi, relaxed, DFT PBE" total_energy_ev_per_cell=-15.462 magmom_total_mub_per_atom=0.00 formation_energy_ev_per_fu=3.45 space_group="Pm-3m, No. 221" pbc="T T T"
Cu -0.250 -2.445 0.576
Cu -2.102 0.520 1.296
Cu -1.374 -0.352 -2.088
Bi 0.000 0.000 0.000
In -3.726 -2.276 -0.215

---

4
Lattice="4.705 -0.011 0.000 0.011 4.705 0.000 0.000 0.000 3.181" Properties=species:S:1:pos:R:3 comment="TaSiSe2, relaxed, DFT PBE" raw_formation_energy_ev_per_atom=0.300 total_energy_ev_per_cell=-23.047 magmom_total_mub_per_atom=0.00 space_group="P4/mmm, No. 123" pbc="T T T"
Si 2.352 -0.006 1.591
Se 2.358 2.347 0.000
Se 0.000 0.000 0.000
Ta 0.005 2.352 1.591

---

10
Lattice="3.240 0.000 0.000 1.620 4.981 0.385 1.620 1.292 7.631" Properties=species:S:1:pos:R:3 comment="Sc2CoC2, relaxed, DFT PBE" total_energy_ev_per_cell=-79.053 magmom_total_mub_per_atom=0.00 formation_energy_ev_per_fu=-1.31 space_group="C2/m, No. 12" pbc="T T T"
Sc 3.240 2.609 5.369
Sc 4.860 4.982 7.118
Sc 1.620 1.291 0.898
Sc 3.240 3.663 2.648
C 1.620 4.548 0.976
C 4.860 1.724 7.040
C 1.620 1.879 3.264
C 4.860 4.393 4.752
Co 3.240 5.278 4.968
Co 3.240 0.994 3.049

---

5
Lattice="4.739 0.000 0.000 0.000 4.913 0.000 0.000 0.000 4.739" Properties=species:S:1:pos:R:3 comment="TiV2TeMo, relaxed, DFT PBE" raw_formation_energy_ev_per_atom=1.462 total_energy_ev_per_cell=-32.794 magmom_total_mub_per_atom=0.25 space_group="P4/mmm, No. 123" pbc="T T T"
V 0.000 0.000 2.370
V 2.370 0.000 0.000
Mo 0.000 2.456 0.000
Te 0.000 0.000 0.000
Ti 2.370 2.456 2.370

---

4
Lattice="-0.557 -2.116 3.769 -3.967 -0.265 1.785 -2.109 -3.813 0.067" Properties=species:S:1:pos:R:3 comment="Al2RhW, relaxed, DFT PBE" total_energy_ev_per_cell=-28.623 magmom_total_mub_per_atom=0.39 formation_energy_ev_per_fu=-0.83 space_group="Fm-3m, No. 225" pbc="T T T"
W -3.317 -3.097 2.811
Al -1.658 -1.548 1.405
Al -4.975 -4.645 4.216
Rh 0.000 0.000 0.000

---

12
Lattice="-2.930 2.127 6.956 -1.365 -7.127 1.679 8.697 -0.749 3.893" Properties=species:S:1:pos:R:3 comment="BaInSn2I8, relaxed, DFT PBE" raw_formation_energy_ev_per_atom=-0.757 total_energy_ev_per_cell=-34.153 magmom_total_mub_per_atom=0.00 space_group="P2/m, No. 10" pbc="T T T"
I -0.802 -0.169 7.066
I 5.204 -5.580 5.463
I 1.468 -4.203 7.647
I 2.934 -1.546 4.882
I 5.724 -4.629 9.790
I -1.322 -1.120 2.739
I 0.440 -5.170 3.330
I 3.962 -0.579 9.198
Sn -0.069 -2.679 5.248
Sn 4.471 -3.070 7.281
In 0.000 0.000 0.000
Ba 4.349 -0.374 1.947

---

4
Lattice="4.756 0.000 0.000 0.000 3.708 -0.101 0.000 1.704 5.556" Properties=species:S:1:pos:R:3 comment="AlTl2Au, relaxed, DFT PBE" total_energy_ev_per_cell=-10.975 magmom_total_mub_per_atom=0.00 formation_energy_ev_per_fu=0.78 space_group="P2/m, No. 10" pbc="T T T"
Tl 0.000 5.294 5.412
Tl 0.000 2.824 2.771
Al 2.378 1.353 1.364
Au 2.378 4.059 4.091